VASP calculation (PBE) on crystalline KPbW2 at its relaxed geometry.

The value obtained for the calculated formation energy is 1491 meV/atom. Its mass density is 9.51 Mg/m³. The density of states at the Fermi level comes out at 2.8 states/eV/f.u. The calculation puts the uncorrected energy at -6.19 eV/atom.

The structure belongs to space group P4/mmm (No. 123); the cell edges are 3.738, 3.738 and 7.675 Å and the angles 90.00°, 90.00° and 90.00°. The inequivalent atoms are K at (0.000, 0.000, 0.000), Pb at (0.000, 0.000, 0.500) and W at (0.500, 0.500, 0.347).